#P
Material: Dy6ErTh
Method: DFT, PBE
State: relaxed

## Properties
Size of the total moment, μB per formula unit: 0.00
Crystal system: triclinic

a b c (Å): 6.5576 6.6428 6.7398
angles (deg): 60.64 84.64 87.45
Space group P-1 (No. 2)
Asymmetric unit:
Dy: 0.2400 0.0631 0.0266 x2
Dy: 0.2493 0.0264 0.5272 x2
Dy: 0.2544 0.5619 0.0144 x2
Er: 0.0000 0.5000 0.5000 x1
Th: 0.5000 0.5000 0.5000 x1

#Q
Material: Dy6ErTh
Method: DFT, PBE
State: relaxed

## Properties
Size of the total moment, μB per formula unit: 0.00
Crystal system: tetragonal

a b c (Å): 5.0232 5.0232 9.9722
angles (deg): 90.00 90.00 90.00
Space group P4/mmm (No. 123)
Asymmetric unit:
Dy: 0.0000 0.0000 0.0000 x1
Dy: 0.0000 0.0000 0.5000 x1
Dy: 0.0000 0.5000 0.2487 x4
Er: 0.5000 0.5000 0.5000 x1
Th: 0.5000 0.5000 0.0000 x1

Here is how they stack up, most stable first: #Q, #P.

#P
Material: DyErTh4
Method: DFT, PBE
State: relaxed

## Properties
Size of the total moment, μB per formula unit: 0.00
Crystal system: tetragonal

a b c (Å): 6.2680 6.2680 23.6282
angles (deg): 90.00 90.00 90.00
Space group I4_1/amd (No. 141, origin choice 2)
Asymmetric unit:
Dy: 0.0000 0.2500 0.3750 x4
Er: 0.0000 0.2500 0.8750 x4
Th: 0.0000 0.9995 0.2502 x16

#Q
Material: DyErTh4
Method: DFT, PBE
State: relaxed

## Properties
Size of the total moment, μB per formula unit: 0.00
Crystal system: triclinic

a b c (Å): 3.5761 6.1614 9.3640
angles (deg): 76.97 79.02 73.17
Space group P-1 (No. 2)
Asymmetric unit:
Dy: 0.0000 0.0000 0.0000 x1
Er: 0.0000 0.5000 0.5000 x1
Th: 0.3306 0.0010 0.3347 x2
Th: 0.3305 0.5026 0.8331 x2

Here is how they stack up, most stable first: #Q, #P.

#P
Material: Dy4Er7Th
Method: DFT, PBE
State: relaxed

## Properties
Size of the total moment, μB per formula unit: 0.00
Crystal system: monoclinic

a b c (Å): 12.0406 5.8722 12.5694
angles (deg): 90.00 118.55 90.00
Space group C2/m (No. 12)
Asymmetric unit:
Dy: 0.0653 0.0000 0.3194 x4
Dy: 0.1392 0.5000 0.7755 x4
Er: 0.0000 0.0000 0.0000 x2
Er: 0.1327 0.5000 0.4990 x4
Er: 0.2090 0.0000 0.9230 x4
Er: 0.2363 0.0000 0.6761 x4
Th: 0.0000 0.5000 0.0000 x2

#Q
Material: Dy4Er7Th
Method: DFT, PBE
State: relaxed

## Properties
Size of the total moment, μB per formula unit: 0.00
Crystal system: triclinic

a b c (Å): 6.7562 6.9296 8.5817
angles (deg): 78.86 76.97 75.84
Space group P-1 (No. 2)
Asymmetric unit:
Dy: 0.1571 0.2700 0.3169 x2
Dy: 0.3147 0.8904 0.6663 x2
Er: 0.0184 0.2507 0.9760 x2
Er: 0.1777 0.7645 0.3264 x2
Er: 0.3238 0.3914 0.6361 x2
Er: 0.5000 0.0000 0.0000 x1
Th: 0.5000 0.5000 0.0000 x1

Here is how they stack up, most stable first: #Q, #P.

#P
Material: DyEr6Th
Method: DFT, PBE
State: relaxed

## Properties
Size of the total moment, μB per formula unit: 0.00
Crystal system: tetragonal

a b c (Å): 4.9919 4.9919 9.9142
angles (deg): 90.00 90.00 90.00
Space group P4/mmm (No. 123)
Asymmetric unit:
Dy: 0.0000 0.0000 0.0000 x1
Er: 0.0000 0.5000 0.2516 x4
Er: 0.5000 0.5000 0.0000 x1
Er: 0.5000 0.5000 0.5000 x1
Th: 0.0000 0.0000 0.5000 x1

#Q
Material: DyEr6Th
Method: DFT, PBE
State: relaxed

## Properties
Size of the total moment, μB per formula unit: 0.00
Crystal system: triclinic

a b c (Å): 6.5120 6.6477 6.7092
angles (deg): 60.50 84.35 87.76
Space group P-1 (No. 2)
Asymmetric unit:
Dy: 0.0000 0.0000 0.0000 x1
Er: 0.2401 0.5634 0.5282 x2
Er: 0.2477 0.5304 0.0277 x2
Er: 0.2550 0.0645 0.5127 x2
Th: 0.5000 0.0000 0.0000 x1

Here is how they stack up, most stable first: #P, #Q.

#P
Material: Dy2Er8Th3
Method: DFT, PBE
State: relaxed

## Properties
Size of the total moment, μB per formula unit: 0.00
Crystal system: monoclinic

a b c (Å): 14.7104 9.2123 6.5720
angles (deg): 90.00 99.63 90.00
Space group C2/m (No. 12)
Asymmetric unit:
Dy: 0.2147 0.0000 0.2923 x4
Er: 0.0816 0.5000 0.3701 x4
Er: 0.1125 0.3215 0.9359 x8
Er: 0.1965 0.0000 0.7858 x4
Th: 0.0000 0.0000 0.0000 x2
Th: 0.0000 0.1696 0.5000 x4

#Q
Material: Dy2Er8Th3
Method: DFT, PBE
State: relaxed

## Properties
Size of the total moment, μB per formula unit: 0.00
Crystal system: triclinic

a b c (Å): 6.1353 6.1365 11.1114
angles (deg): 90.05 100.52 99.69
Space group P-1 (No. 2)
Asymmetric unit:
Dy: 0.1161 0.2692 0.4629 x2
Er: 0.0375 0.4227 0.1518 x2
Er: 0.1939 0.1133 0.7712 x2
Er: 0.3469 0.8070 0.3846 x2
Er: 0.4244 0.6562 0.6936 x2
Th: 0.2676 0.9614 0.0750 x2
Th: 0.5000 0.5000 0.0000 x1

Here is how they stack up, most stable first: #Q, #P.

#P
Material: DyEr7Th3
Method: DFT, PBE
State: relaxed

## Properties
Size of the total moment, μB per formula unit: 0.00
Crystal system: monoclinic

a b c (Å): 6.8776 5.4747 10.0501
angles (deg): 90.00 109.84 90.00
Space group P2/m (No. 10)
Asymmetric unit:
Dy: 0.0000 0.0000 0.0000 x1
Er: 0.0855 0.0000 0.6706 x2
Er: 0.1754 0.5000 0.8615 x2
Er: 0.3609 0.5000 0.2074 x2
Er: 0.5000 0.0000 0.5000 x1
Th: 0.2224 0.5000 0.5007 x2
Th: 0.5000 0.0000 0.0000 x1

#Q
Material: DyEr7Th3
Method: DFT, PBE
State: relaxed

## Properties
Size of the total moment, μB per formula unit: 0.00
Crystal system: trigonal

a b c (Å): 7.0275 7.0275 8.4786
angles (deg): 90.00 90.00 120.00
Space group P3m1 (No. 156)
Asymmetric unit:
Dy: 0.0000 0.0000 0.0000 x1
Er: 0.1656 0.3313 0.3388 x3
Er: 0.5012 0.0023 0.0032 x3
Er: 0.6667 0.3333 0.3412 x1
Th: 0.3340 0.1670 0.6706 x3

Here is how they stack up, most stable first: #P, #Q.